The following is a PBE calculation of a geometry-optimized BaNd2In2O7 structure, from OQMD.

Energy (eV/atom): -6.709
Space-group type: I4/mmm
Offset from the most stable computed form (meV per atom): 75

Unit cell a=10.8494 b=10.8494 c=10.8494 alpha=157.98 beta=157.98 gamma=31.34
With the nearest neighbours (Å) after each atom.
Positions (direct):
1 O 0.0000 0.0000 0.0000  2 In 2.14
2 Ba 0.5000 0.5000 0.0000  12 O 2.93-3.16
3 In 0.1024 0.1024 0.0000  6 O 2.09-2.26
4 In 0.8976 0.8976 0.0000  6 O 2.09-2.26
5 O 0.6143 0.1143 0.5000  2 In 2.09
6 O 0.8857 0.3857 0.5000  2 In 2.09
7 Nd 0.3162 0.3162 0.0000  1 O 2.20
8 O 0.2107 0.2107 0.0000  1 Nd 2.20, 1 In 2.26
9 O 0.3857 0.8857 0.5000  2 In 2.09
10 O 0.1143 0.6143 0.5000  2 In 2.09
11 O 0.7893 0.7893 0.0000  1 Nd 2.20, 1 In 2.26
12 Nd 0.6838 0.6838 0.0000  1 O 2.20

The following is a PBE calculation of a geometry-optimized PaBiH structure, from OQMD.

Energy (eV/atom): -5.961
Space-group type: P-6m2

Unit cell a=4.0537 b=4.0537 c=4.3828 alpha=90.00 beta=90.00 gamma=120.00
With the nearest neighbours (Å) after each atom.
Positions (direct):
1 H 0.0000 0.0000 0.8334  3 Pa 2.34
2 Bi 0.3333 0.6667 0.3333  6 H 3.21, 6 Pa 3.21
3 Pa 0.6667 0.3333 0.8333  3 H 2.34

The following is a PBE calculation of a geometry-optimized Cu2Ag3 structure, from OQMD.

Energy (eV/atom): -3.115
Space-group type: P4mm
Offset from the most stable computed form (meV per atom): 34

Unit cell a=2.8685 b=2.8685 c=18.8523 alpha=90.00 beta=90.00 gamma=90.00
With the nearest neighbours (Å) after each atom.
Positions (direct):
1 Cu 0.5000 0.5000 0.9084  4 Cu 2.51, 4 Ag 2.74
2 Ag 0.5000 0.5000 0.5022  8 Cu 2.72-2.73, 4 Ag 2.87
3 Cu 0.0000 0.0000 0.4059  8 Ag 2.72, 4 Cu 2.87
4 Ag 0.5000 0.5000 0.0839  4 Cu 2.73, 8 Ag 2.87-2.94
5 Ag 0.5000 0.5000 0.3100  4 Cu 2.72, 8 Ag 2.87-2.94
6 Ag 0.5000 0.5000 0.6961  4 Cu 2.73, 8 Ag 2.87-2.97
7 Cu 0.0000 0.0000 0.9868  4 Cu 2.51, 4 Ag 2.73
8 Cu 0.0000 0.0000 0.5990  8 Ag 2.73, 4 Cu 2.87
9 Ag 0.0000 0.0000 0.1969  12 Ag 2.87-2.94
10 Ag 0.0000 0.0000 0.8108  4 Cu 2.74, 8 Ag 2.87-2.97

The following is a PBE calculation of a geometry-optimized Hf3HgAs structure, from OQMD.

Energy (eV/atom): -7.280
Space-group type: Cmcm

Unit cell a=6.1450 b=6.1450 c=10.0394 alpha=90.00 beta=90.00 gamma=145.63
With the nearest neighbours (Å) after each atom.
Positions (direct):
1 Hg 0.7376 0.2624 0.7500  6 Hf 2.94
2 Hf 0.3500 0.6500 0.5613  2 As 2.60
3 Hf 0.6500 0.3500 0.0613  2 As 2.60
4 Hf 0.6500 0.3500 0.4387  2 As 2.60
5 As 0.0000 0.0000 0.0000  6 Hf 2.56-2.60
6 Hf 0.3500 0.6500 0.9387  2 As 2.60
7 As 0.0000 0.0000 0.5000  6 Hf 2.56-2.60
8 Hf 0.9591 0.0409 0.2500  2 As 2.56
9 Hf 0.0409 0.9591 0.7500  2 As 2.56
10 Hg 0.2624 0.7376 0.2500  6 Hf 2.94

The following is a PBE calculation of a geometry-optimized NdSmSb2 structure, from OQMD.

Energy (eV/atom): -5.614
Space-group type: P4/mmm

Unit cell a=4.4952 b=4.4952 c=6.3573 alpha=90.00 beta=90.00 gamma=90.00
With the nearest neighbours (Å) after each atom.
Positions (direct):
1 Sm 0.5000 0.5000 0.5000  6 Sb 3.18
2 Sb 0.0000 0.0000 0.5000  4 Sm 3.18, 2 Nd 3.18
3 Nd 0.0000 0.0000 0.0000  6 Sb 3.18
4 Sb 0.5000 0.5000 0.0000  4 Nd 3.18, 2 Sm 3.18

The following is a PBE calculation of a geometry-optimized BeCu2Ir structure, from OQMD.

Energy (eV/atom): -5.072
Space-group type: F-43m

Unit cell a=4.0303 b=4.0303 c=4.0303 alpha=60.00 beta=60.00 gamma=60.00
With the nearest neighbours (Å) after each atom.
Positions (direct):
1 Cu 0.7500 0.7500 0.7500  4 Cu 2.47, 4 Be 2.47
2 Ir 0.2500 0.2500 0.2500  4 Be 2.47, 4 Cu 2.47
3 Be 0.5000 0.5000 0.5000  4 Ir 2.47, 4 Cu 2.47
4 Cu 0.0000 0.0000 0.0000  4 Cu 2.47, 4 Ir 2.47

The following is a PBE calculation of a geometry-optimized PaPPbO structure, from OQMD.

Energy (eV/atom): -6.620
Space-group type: Pmc2_1
Offset from the most stable computed form (meV per atom): 167

Unit cell a=4.1012 b=8.7160 c=6.2445 alpha=90.00 beta=90.00 gamma=90.00
With the nearest neighbours (Å) after each atom.
Positions (direct):
1 Pa 0.0000 0.1686 0.5594  2 O 2.13-2.16
2 P 0.5000 0.3618 0.4079  2 Pb 2.69, 2 Pa 2.82
3 O 0.0000 0.0038 0.3084  2 Pa 2.13-2.16
4 Pa 0.0000 0.8314 0.0594  2 O 2.13-2.16
5 P 0.5000 0.6382 0.9079  2 Pb 2.69, 2 Pa 2.82
6 O 0.0000 0.9962 0.8084  2 Pa 2.13-2.16
7 Pb 0.5000 0.3336 0.9784  2 P 2.69
8 Pb 0.5000 0.6664 0.4784  2 P 2.69

The following is a PBE calculation of a geometry-optimized CoB2Mo structure, from OQMD.

Energy (eV/atom): -7.014
Space-group type: F-43m

Unit cell a=3.8289 b=3.8289 c=3.8289 alpha=60.00 beta=60.00 gamma=60.00
With the nearest neighbours (Å) after each atom.
Positions (direct):
1 B 0.0000 0.0000 0.0000  4 B 2.34, 4 Mo 2.34
2 Co 0.5000 0.5000 0.5000  4 B 2.34, 4 Mo 2.34
3 B 0.7500 0.7500 0.7500  4 Co 2.34, 4 B 2.34
4 Mo 0.2500 0.2500 0.2500  4 Co 2.34, 4 B 2.34

The following is a PBE calculation of a geometry-optimized HfSnGe2O7 structure, from OQMD.

Energy (eV/atom): -7.318
Space-group type: C2

Unit cell a=5.5884 b=5.5884 c=4.8627 alpha=96.63 beta=96.63 gamma=100.96
With the nearest neighbours (Å) after each atom.
Positions (direct):
1 O 0.0266 0.3487 0.2245  1 Ge 1.75
2 O 0.8599 0.5383 0.7504  1 Ge 1.76
3 Ge 0.7847 0.7725 0.5665  4 O 1.75-1.78
4 Sn 0.2790 0.7210 0.0000  4 O 2.26-2.48
5 O 0.0802 0.9198 0.5000  2 Ge 1.78
6 O 0.3673 0.3864 0.7563  1 Ge 1.75
7 Hf 0.6875 0.3125 0.0000  6 O 2.04-2.16
8 O 0.6513 0.9734 0.7755  1 Ge 1.75
9 O 0.6136 0.6327 0.2437  1 Ge 1.75
10 O 0.4617 0.1401 0.2496  1 Ge 1.76
11 Ge 0.2275 0.2153 0.4335  4 O 1.75-1.78

The following is a PBE calculation of a geometry-optimized YCuAsW structure, from OQMD.

Energy (eV/atom): -6.217
Space-group type: F-43m
Offset from the most stable computed form (meV per atom): 181

Unit cell a=4.7163 b=4.7163 c=4.7163 alpha=60.00 beta=60.00 gamma=60.00
With the nearest neighbours (Å) after each atom.
Positions (direct):
1 Cu 0.7500 0.7500 0.7500  4 W 2.89, 4 As 2.89
2 Y 0.2500 0.2500 0.2500  4 W 2.89, 4 As 2.89
3 W 0.5000 0.5000 0.5000  4 Cu 2.89, 4 Y 2.89
4 As 0.0000 0.0000 0.0000  4 Cu 2.89, 4 Y 2.89

The following is a PBE calculation of a geometry-optimized CoCu5Si2 structure, from OQMD.

Energy (eV/atom): -4.532
Space-group type: P4/mmm

Unit cell a=3.9499 b=3.9499 c=5.9324 alpha=90.00 beta=90.00 gamma=90.00
With the nearest neighbours (Å) after each atom.
Positions (direct):
1 Co 0.0000 0.0000 0.5000  8 Cu 2.48
2 Si 0.0000 0.0000 0.0000  8 Cu 2.46
3 Si 0.5000 0.5000 0.5000  8 Cu 2.48
4 Cu 0.0000 0.5000 0.7519  4 Si 2.46-2.48, 2 Cu 2.46, 2 Co 2.48
5 Cu 0.5000 0.0000 0.2481  2 Cu 2.46, 4 Si 2.46-2.48, 2 Co 2.48
6 Cu 0.5000 0.0000 0.7519  4 Si 2.46-2.48, 2 Cu 2.46, 2 Co 2.48
7 Cu 0.5000 0.5000 0.0000  8 Cu 2.46
8 Cu 0.0000 0.5000 0.2481  2 Cu 2.46, 4 Si 2.46-2.48, 2 Co 2.48

The following is a PBE calculation of a geometry-optimized YEr2P3 structure, from OQMD.

Energy (eV/atom): -6.921
Space-group type: P-3m1

Unit cell a=3.9824 b=3.9824 c=9.7475 alpha=90.00 beta=90.00 gamma=120.00
With the nearest neighbours (Å) after each atom.
Positions (direct):
1 Er 0.3333 0.6667 0.8343  6 P 2.81
2 P 0.3333 0.6667 0.3308  3 Er 2.81, 3 Y 2.83
3 Y 0.0000 0.0000 0.5000  6 P 2.83
4 Er 0.6667 0.3333 0.1657  6 P 2.81
5 P 0.0000 0.0000 0.0000  6 Er 2.81
6 P 0.6667 0.3333 0.6692  3 Er 2.81, 3 Y 2.83

The following is a PBE calculation of a geometry-optimized SmUSb2 structure, from OQMD.

Energy (eV/atom): -6.726
Space-group type: P4/mmm

Unit cell a=4.4258 b=4.4258 c=6.2451 alpha=90.00 beta=90.00 gamma=90.00
With the nearest neighbours (Å) after each atom.
Positions (direct):
1 Sb 0.0000 0.0000 0.0000  2 U 3.12, 4 Sm 3.13
2 Sm 0.5000 0.5000 0.0000  6 Sb 3.12-3.13
3 U 0.0000 0.0000 0.5000  6 Sb 3.12-3.13
4 Sb 0.5000 0.5000 0.5000  2 Sm 3.12, 4 U 3.13

The following is a PBE calculation of a geometry-optimized Si2BMo structure, from OQMD.

Energy (eV/atom): -6.288
Space-group type: F-43m

Unit cell a=4.1174 b=4.1174 c=4.1174 alpha=60.00 beta=60.00 gamma=60.00
With the nearest neighbours (Å) after each atom.
Positions (direct):
1 B 0.0000 0.0000 0.0000  4 Si 2.52, 4 Mo 2.52
2 Mo 0.7500 0.7500 0.7500  4 Si 2.52, 4 B 2.52
3 Si 0.5000 0.5000 0.5000  4 Mo 2.52, 4 Si 2.52
4 Si 0.2500 0.2500 0.2500  4 Si 2.52, 4 B 2.52

The following is a PBE calculation of a geometry-optimized Ho3Fe2 structure, from OQMD.

Energy (eV/atom): -5.918
Space-group type: R-3c

Unit cell a=6.5985 b=6.5985 c=7.2060 alpha=117.25 beta=62.75 gamma=120.00
With the nearest neighbours (Å) after each atom.
Positions (direct):
1 Ho 0.6339 0.7500 0.2500  4 Fe 2.77-2.83
2 Fe 0.6892 0.3108 0.9325  1 Fe 2.23
3 Ho 0.2500 0.1339 0.2500  4 Fe 2.77-2.83
4 Fe 0.1892 0.8108 0.4325  1 Fe 2.23
5 Fe 0.8108 0.1892 0.5675  1 Fe 2.23
6 Ho 0.3661 0.2500 0.7500  4 Fe 2.77-2.83
7 Ho 0.8661 0.3661 0.2500  4 Fe 2.77-2.83
8 Ho 0.1339 0.6339 0.7500  4 Fe 2.77-2.83
9 Ho 0.7500 0.8661 0.7500  4 Fe 2.77-2.83
10 Fe 0.3108 0.6892 0.0675  1 Fe 2.23

The following is a PBE calculation of a geometry-optimized AgGeSO structure, from OQMD.

Energy (eV/atom): -4.609
Space-group type: Pca2_1
Offset from the most stable computed form (meV per atom): 70

Unit cell a=5.6460 b=8.5920 c=6.1133 alpha=90.00 beta=90.00 gamma=90.00
With the nearest neighbours (Å) after each atom.
Positions (direct):
1 Ag 0.7859 0.4056 0.9660  3 S 2.47-2.68
2 Ag 0.2141 0.5944 0.4660  3 S 2.47-2.68
3 S 0.5743 0.6629 0.6784  1 Ge 2.35, 2 Ag 2.47-2.48
4 Ag 0.7141 0.4056 0.4660  3 S 2.47-2.68
5 O 0.8840 0.9739 0.6238  2 Ge 1.89-1.91
6 O 0.3840 0.0261 0.6238  2 Ge 1.89-1.91
7 Ge 0.3937 0.1032 0.9818  2 O 1.89-1.91
8 S 0.9257 0.6629 0.1784  1 Ge 2.35, 2 Ag 2.47-2.48
9 S 0.0743 0.3371 0.6784  1 Ge 2.35, 2 Ag 2.47-2.48
10 Ag 0.2859 0.5944 0.9660  3 S 2.47-2.68
11 Ge 0.6063 0.8968 0.4818  2 O 1.89-1.91
12 O 0.6160 0.9739 0.1238  2 Ge 1.89-1.91
13 S 0.4257 0.3371 0.1784  1 Ge 2.35, 2 Ag 2.47-2.48
14 Ge 0.8937 0.8968 0.9818  2 O 1.89-1.91
15 Ge 0.1063 0.1032 0.4818  2 O 1.89-1.91
16 O 0.1160 0.0261 0.1238  2 Ge 1.89-1.91

The following is a PBE calculation of a geometry-optimized HfGaCo structure, from OQMD.

Energy (eV/atom): -6.318
Space-group type: F-43m

Unit cell a=4.3192 b=4.3192 c=4.3192 alpha=60.00 beta=60.00 gamma=60.00
With the nearest neighbours (Å) after each atom.
Positions (direct):
1 Ga 0.7500 0.7500 0.7500  4 Hf 2.64
2 Hf 0.0000 0.0000 0.0000  4 Ga 2.64, 4 Co 2.64
3 Co 0.2500 0.2500 0.2500  4 Hf 2.64

The following is a PBE calculation of a geometry-optimized GaCuTcAg structure, from OQMD.

Energy (eV/atom): -4.686
Space-group type: F-43m
Offset from the most stable computed form (meV per atom): 0

Unit cell a=4.3919 b=4.3919 c=4.3919 alpha=60.00 beta=60.00 gamma=60.00
With the nearest neighbours (Å) after each atom.
Positions (direct):
1 Tc 0.2500 0.2500 0.2500  4 Ag 2.69, 4 Ga 2.69
2 Ga 0.0000 0.0000 0.0000  4 Tc 2.69, 4 Cu 2.69
3 Cu 0.7500 0.7500 0.7500  4 Ag 2.69, 4 Ga 2.69
4 Ag 0.5000 0.5000 0.5000  4 Cu 2.69, 4 Tc 2.69

The following is a PBE calculation of a geometry-optimized NiSn structure, from OQMD.

Energy (eV/atom): -4.444
Space-group type: P6_3mc

Unit cell a=4.0606 b=4.0606 c=6.6123 alpha=90.00 beta=90.00 gamma=120.00
With the nearest neighbours (Å) after each atom.
Positions (direct):
1 Sn 0.0000 0.0000 0.3758  4 Ni 2.48-2.49
2 Sn 0.3333 0.6667 0.8758  4 Ni 2.48-2.49
3 Ni 0.3333 0.6667 0.4992  4 Sn 2.48-2.49
4 Ni 0.0000 0.0000 0.9992  4 Sn 2.48-2.49

The following is a PBE calculation of a geometry-optimized Hf2NbTcGe2 structure, from OQMD.

Energy (eV/atom): -8.859
Space-group type: Immm

Unit cell a=7.6910 b=7.6910 c=7.6910 alpha=151.73 beta=150.44 gamma=41.36
With the nearest neighbours (Å) after each atom.
Positions (direct):
1 Ge 0.3655 0.8655 0.5000  2 Tc 2.70, 2 Nb 2.76, 5 Hf 2.76-2.77
2 Nb 0.0000 0.0000 0.0000  4 Tc 2.72, 4 Ge 2.76
3 Tc 0.5000 0.5000 0.0000  4 Ge 2.70, 4 Nb 2.72
4 Hf 0.8261 0.3261 0.5000  5 Ge 2.76-2.77
5 Ge 0.6345 0.1345 0.5000  2 Tc 2.70, 2 Nb 2.76, 5 Hf 2.76-2.77
6 Hf 0.1739 0.6739 0.5000  5 Ge 2.76-2.77